Entry 1
CsLuSeO | PBE | optimized geometry

Values from the calculation:
The magnetic moment is 0.00 Bohr magnetons per cell. The calculated volume is 403.68 Å³/cell.

The structure in POSCAR format:
```
CsLuSeO
1.0
-3.709 -5.176 5.635
5.270 -4.924 -1.054
4.042 3.481 3.945
Cs Lu O Se
4 4 4 4
Direct
0.906 0.288 0.029
0.094 0.788 0.471
0.906 0.212 0.529
0.094 0.712 0.971
0.517 0.628 0.215
0.483 0.128 0.285
0.517 0.872 0.715
0.483 0.372 0.785
0.581 0.354 0.116
0.419 0.854 0.384
0.581 0.146 0.616
0.419 0.646 0.884
0.730 0.900 0.126
0.270 0.400 0.374
0.730 0.600 0.626
0.270 0.100 0.874
```



Entry 2
CsLuSeO | PBE | optimized geometry

Values from the calculation:
The magnetic moment is 0.00 Bohr magnetons per cell. The calculated volume is 231.81 Å³/cell.

The structure in POSCAR format:
```
CsLuSeO
1.0
4.600 0.000 0.000
0.000 4.600 0.000
0.000 0.000 10.955
Cs Lu O Se
2 2 2 2
Direct
0.750 0.250 0.500
0.250 0.750 0.500
0.750 0.750 0.046
0.250 0.250 0.954
0.750 0.250 0.000
0.250 0.750 0.000
0.750 0.750 0.280
0.250 0.250 0.720
```



Need the numbers? Relative energies in meV/atom: entry 1 0; entry 2 374.



Entry 1
CsLuOs | PBE | optimized geometry

Values from the calculation:
The magnetic moment is 0.00 Bohr magnetons per cell. The calculated volume is 84.29 Å³/cell.

The structure in POSCAR format:
```
CsLuOs
1.0
-0.517 -4.475 1.981
-2.765 -0.605 4.026
-4.316 -2.344 -0.309
Cs Lu Os
1 1 1
Direct
0.250 0.250 0.250
0.750 0.750 0.750
0.000 0.000 0.000
```



Entry 2
CsLuOs | PBE | optimized geometry

Values from the calculation:
The magnetic moment is 0.01 Bohr magnetons per cell. The calculated volume is 79.22 Å³/cell.

The structure in POSCAR format:
```
CsLuOs
1.0
0.324 1.090 4.685
-3.543 2.461 2.153
-2.869 -2.199 3.190
Cs Lu Os
1 1 1
Direct
0.000 0.000 0.000
0.250 0.250 0.250
0.750 0.750 0.750
```



Need the numbers? Relative energies in meV/atom: entry 1 0; entry 2 986.



Entry 1
CsLuPa | PBE | optimized geometry

Values from the calculation:
The magnetic moment is 3.39 Bohr magnetons per cell. The calculated volume is 135.13 Å³/cell.

The structure in POSCAR format:
```
CsLuPa
1.0
0.000 4.073 4.073
4.073 0.000 4.073
4.073 4.073 0.000
Cs Lu Pa
1 1 1
Direct
0.250 0.250 0.250
0.750 0.750 0.750
0.000 0.000 0.000
```



Entry 2
CsLuPa | PBE | optimized geometry

Values from the calculation:
The magnetic moment is 1.32 Bohr magnetons per cell. The calculated volume is 105.71 Å³/cell.

The structure in POSCAR format:
```
CsLuPa
1.0
2.219 2.214 4.283
4.235 -2.261 2.263
4.761 2.314 -0.375
Cs Lu Pa
1 1 1
Direct
0.000 0.000 0.000
0.750 0.750 0.750
0.250 0.250 0.250
```



Need the numbers? Relative energies in meV/atom: entry 1 0; entry 2 6.



Entry 1
CsLuScTe3 | PBE | optimized geometry

Values from the calculation:
The magnetic moment is 1.82 Bohr magnetons per cell. The calculated volume is 458.44 Å³/cell.

The structure in POSCAR format:
```
CsLuScTe3
1.0
-3.839 0.320 8.175
-0.093 -2.626 -8.647
5.341 -9.697 2.888
Cs Lu Sc Te
2 2 2 6
Direct
0.250 0.750 0.250
0.750 0.250 0.750
0.971 0.029 0.250
0.029 0.971 0.750
0.500 0.500 0.000
0.500 0.500 0.500
0.884 0.116 0.039
0.569 0.431 0.250
0.884 0.116 0.461
0.116 0.884 0.539
0.431 0.569 0.750
0.116 0.884 0.961
```



Entry 2
CsLuScTe3 | PBE | optimized geometry

Values from the calculation:
The magnetic moment is 0.04 Bohr magnetons per cell. The calculated volume is 450.26 Å³/cell.

The structure in POSCAR format:
```
CsLuScTe3
1.0
2.235 -8.678 0.000
2.235 8.678 0.000
0.000 0.000 11.608
Cs Lu Sc Te
2 2 2 6
Direct
0.241 0.759 0.250
0.759 0.241 0.750
0.500 0.500 0.000
0.500 0.500 0.500
0.961 0.039 0.250
0.039 0.961 0.750
0.879 0.121 0.044
0.560 0.440 0.250
0.879 0.121 0.456
0.121 0.879 0.544
0.440 0.560 0.750
0.121 0.879 0.956
```



Need the numbers? Relative energies in meV/atom: entry 1 54; entry 2 0.



Entry 1
CsLuTe | PBE | optimized geometry

Values from the calculation:
The magnetic moment is 0.00 Bohr magnetons per cell. The calculated volume is 148.02 Å³/cell.

The structure in POSCAR format:
```
CsLuTe
1.0
0.000 4.199 4.199
4.199 0.000 4.199
4.199 4.199 0.000
Cs Lu Te
1 1 1
Direct
0.000 0.000 0.000
0.250 0.250 0.250
0.750 0.750 0.750
```



Entry 2
CsLuTe | PBE | optimized geometry

Values from the calculation:
The magnetic moment is 0.02 Bohr magnetons per cell. The calculated volume is 111.31 Å³/cell.

The structure in POSCAR format:
```
CsLuTe
1.0
-3.507 -2.473 3.277
-4.573 2.488 1.432
-4.735 -1.735 -1.929
Cs Lu Te
1 1 1
Direct
0.250 0.250 0.250
0.000 0.000 0.000
0.750 0.750 0.750
```



Need the numbers? Relative energies in meV/atom: entry 1 296; entry 2 0.



Entry 1
CsLuU | PBE | optimized geometry

Values from the calculation:
The magnetic moment is 6.17 Bohr magnetons per cell. The calculated volume is 142.45 Å³/cell.

The structure in POSCAR format:
```
CsLuU
1.0
0.000 4.145 4.145
4.145 0.000 4.145
4.145 4.145 0.000
Cs Lu U
1 1 1
Direct
0.500 0.500 0.500
0.250 0.250 0.250
0.000 0.000 0.000
```



Entry 2
CsLuU | PBE | optimized geometry

Values from the calculation:
The magnetic moment is 3.70 Bohr magnetons per cell. The calculated volume is 108.21 Å³/cell.

The structure in POSCAR format:
```
CsLuU
1.0
1.228 -1.658 4.935
-2.518 -4.223 2.107
2.628 -4.606 0.697
Cs Lu U
1 1 1
Direct
0.000 0.000 0.000
0.750 0.750 0.750
0.250 0.250 0.250
```



Need the numbers? Relative energies in meV/atom: entry 1 0; entry 2 98.



Entry 1
CsLuZn | PBE | optimized geometry

Values from the calculation:
The magnetic moment is 0.02 Bohr magnetons per cell. The calculated volume is 112.55 Å³/cell.

The structure in POSCAR format:
```
CsLuZn
1.0
0.000 3.832 3.832
3.832 0.000 3.832
3.832 3.832 0.000
Cs Lu Zn
1 1 1
Direct
0.250 0.250 0.250
0.000 0.000 0.000
0.750 0.750 0.750
```



Entry 2
CsLuZn | PBE | optimized geometry

Values from the calculation:
The magnetic moment is 0.03 Bohr magnetons per cell. The calculated volume is 128.58 Å³/cell.

The structure in POSCAR format:
```
CsLuZn
1.0
1.430 -3.936 -3.816
1.215 -5.270 1.686
-3.569 -4.242 -1.168
Cs Lu Zn
1 1 1
Direct
0.000 0.000 0.000
0.250 0.250 0.250
0.750 0.750 0.750
```



Need the numbers? Relative energies in meV/atom: entry 1 0; entry 2 265.



Entry 1
CsMgNbNi | PBE | optimized geometry

Values from the calculation:
The magnetic moment is 0.01 Bohr magnetons per cell. The calculated volume is 83.62 Å³/cell.

The structure in POSCAR format:
```
CsMgNbNi
1.0
0.000 3.471 3.471
3.471 0.000 3.471
3.471 3.471 0.000
Cs Mg Nb Ni
1 1 1 1
Direct
0.000 0.000 0.000
0.750 0.750 0.750
0.250 0.250 0.250
0.500 0.500 0.500
```



Entry 2
CsMgNbNi | PBE | optimized geometry

Values from the calculation:
The magnetic moment is 2.36 Bohr magnetons per cell. The calculated volume is 88.21 Å³/cell.

The structure in POSCAR format:
```
CsMgNbNi
1.0
2.088 1.932 4.108
-2.793 0.865 4.052
0.572 -2.829 4.079
Cs Mg Nb Ni
1 1 1 1
Direct
0.250 0.250 0.250
0.750 0.750 0.750
0.000 0.000 0.000
0.500 0.500 0.500
```



Need the numbers? Relative energies in meV/atom: entry 1 0; entry 2 164.